Here is crystalline Li3Tl2IrF12 at its relaxed geometry from Alexandria via LeMat-Bulk. Energies are from GGA-PBE.

Calculated values
Total energy = -4.253 eV/atom
Formation energy from raw total energies = -1.9310 eV per atom
DOS(E_F) = 0.4660 states/eV/atom

Cell lengths 9.454, 9.454, 9.454 Å; angles 38.36, 38.36, 38.36 degrees
Fractional positions:
1 Li 0.000 0.500 0.500
2 Li 0.500 0.000 0.500
3 Li 0.500 0.500 0.000
4 Tl 0.077 0.077 0.077
5 Tl 0.923 0.923 0.923
6 Ir 0.500 0.500 0.500
7 F 0.149 0.149 0.598
8 F 0.149 0.598 0.149
9 F 0.169 0.602 0.602
10 F 0.398 0.398 0.831
11 F 0.398 0.831 0.398
12 F 0.402 0.851 0.851
13 F 0.598 0.149 0.149
14 F 0.602 0.169 0.602
15 F 0.602 0.602 0.169
16 F 0.831 0.398 0.398
17 F 0.851 0.402 0.851
18 F 0.851 0.851 0.402